(A)
VASP calculation (PBE) on a relaxed structure of CePmTlRu.

Cell: 5.2071 5.2071 5.2071 Å, 60.00 60.00 60.00°
Fractional coordinates of all 4 atoms:
Ru (0.7500, 0.7500, 0.7500)
Ce (0.5000, 0.5000, 0.5000)
Tl (0.2500, 0.2500, 0.2500)
Pm (0.0000, 0.0000, 0.0000)

Calculated values
space group = No. 216
magnetization = 0.6 μB per cell

---

(B)
VASP calculation (PBE) on a relaxed structure of CePmTlRu.

Cell: 3.4228 3.4228 8.5388 Å, 90.00 90.00 90.00°
Fractional coordinates of all 4 atoms:
Ru (0.0000, 0.0000, 0.5630)
Tl (0.0000, 0.0000, 0.0739)
Pm (0.5000, 0.5000, 0.7781)
Ce (0.5000, 0.5000, 0.3698)

Calculated values
space group = No. 99
magnetization = 0.4 μB per cell

---

Energies relative to the most stable structure, in kJ/mol of atoms: (A) 19.6; (B) 0.0.

---

(A)
VASP calculation (PBE) on a relaxed structure of CePmS2.

Cell: 4.0295 4.0295 6.9847 Å, 73.23 73.23 60.00°
Fractional coordinates of all 4 atoms:
Pm (0.5000, 0.5000, 0.5000)
S (0.2500, 0.2500, 0.2500)
S (0.7500, 0.7500, 0.7500)
Ce (0.0000, 0.0000, 0.0000)

Calculated values
space group = No. 166
magnetization = 0.8 μB per cell

---

(B)
VASP calculation (PBE) on a relaxed structure of CePmS2.

Cell: 3.9784 3.9784 13.6160 Å, 90.00 90.00 120.00°
Fractional coordinates of all 8 atoms:
S (0.3333, 0.6667, 0.1238)
S (0.6667, 0.3333, 0.8762)
S (0.6667, 0.3333, 0.6238)
Pm (0.6667, 0.3333, 0.2500)
Pm (0.3333, 0.6667, 0.7500)
Ce (0.0000, 0.0000, 0.5000)
S (0.3333, 0.6667, 0.3762)
Ce (0.0000, 0.0000, 0.0000)

Calculated values
space group = No. 194
magnetization = 2.0 μB per cell

---

(C)
VASP calculation (PBE) on a relaxed structure of CePmS2.

Cell: 3.9187 3.9188 7.2203 Å, 90.00 90.00 120.00°
Fractional coordinates of all 4 atoms:
S (0.3333, 0.1667, 0.2463)
S (0.6667, 0.8333, 0.7537)
Ce (0.0000, 0.5000, 0.5000)
Pm (0.0000, 0.5000, 0.0000)

Calculated values
space group = No. 164
magnetization = 1.3 μB per cell

---

(D)
VASP calculation (PBE) on a relaxed structure of CePmS2.

Cell: 3.9350 3.9350 7.4189 Å, 74.62 74.62 60.00°
Fractional coordinates of all 4 atoms:
S (0.2518, 0.2518, 0.2447)
Pm (0.6713, 0.6713, 0.9862)
S (0.0817, 0.0817, 0.7549)
Ce (0.4952, 0.4952, 0.5143)

Calculated values
space group = No. 160
magnetization = 1.1 μB per cell

---

Energies relative to the most stable structure, in kJ/mol of atoms: (A) 0.0; (B) 3.1; (C) 17.6; (D) 10.2.